Record 1
An optimized crystal structure of CeMg4Hg5, computed with PBE.

Values from the calculation:
Total moment = 1.264 μB per cell
Crystal system = tetragonal
D(E_F) = 0.9204 states/eV/atom

abc: 3.5797 3.5797 17.6497
angles: 90.00 90.00 90.00
With the nearest neighbours (Å) after each atom.
Element x y z (fractional)
Ce  0.0000  0.0000  0.0000  8 Hg 3.29, 4 Ce 3.58
Mg  0.0000  0.0000  0.2147  8 Hg 3.04, 1 Mg 3.36
Mg  0.0000  0.0000  0.4049  8 Hg 3.04, 2 Mg 3.36
Mg  0.0000  0.0000  0.5951  8 Hg 3.04, 2 Mg 3.36
Mg  0.0000  0.0000  0.7853  8 Hg 3.04, 1 Mg 3.36
Hg  0.5000  0.5000  0.1192  4 Mg 3.04, 4 Ce 3.29, 1 Hg 3.36
Hg  0.5000  0.5000  0.3096  8 Mg 3.04, 2 Hg 3.36
Hg  0.5000  0.5000  0.5000  8 Mg 3.04, 2 Hg 3.36
Hg  0.5000  0.5000  0.6904  8 Mg 3.04, 2 Hg 3.36
Hg  0.5000  0.5000  0.8808  4 Mg 3.04, 4 Ce 3.29, 1 Hg 3.36

---

Record 2
An optimized crystal structure of Ce2Mg5Hg3, computed with PBE.

Values from the calculation:
Total moment = 5.039 μB per cell
Crystal system = orthorhombic
D(E_F) = 2.0256 states/eV/atom

abc: 6.3839 9.4722 9.4722
angles: 83.42 70.31 70.31
With the nearest neighbours (Å) after each atom.
Element x y z (fractional)
Ce  0.1326  0.6078  0.1270  4 Hg 3.38-3.51, 6 Mg 3.40-3.74
Ce  0.6326  0.1270  0.6078  4 Hg 3.38-3.51, 6 Mg 3.40-3.74
Ce  0.8674  0.3922  0.8730  4 Hg 3.38-3.51, 6 Mg 3.40-3.74
Ce  0.3674  0.8730  0.3922  4 Hg 3.38-3.51, 6 Mg 3.40-3.74
Mg  0.3896  0.2540  0.9668  3 Hg 2.71-2.79, 2 Mg 2.97
Mg  0.8896  0.9668  0.2540  3 Hg 2.71-2.79, 2 Mg 2.97
Mg  0.6104  0.7460  0.0332  3 Hg 2.71-2.79, 2 Mg 2.97
Mg  0.1104  0.0332  0.7460  3 Hg 2.71-2.79, 2 Mg 2.97
Mg  0.4980  0.7520  0.7520  3 Hg 2.87-3.13, 5 Mg 2.97-3.19
Mg  0.5020  0.2480  0.2480  3 Hg 2.87-3.13, 5 Mg 2.97-3.19
Mg  0.7500  0.5000  0.5000  4 Hg 2.89, 4 Mg 3.18-3.19
Mg  0.2500  0.5000  0.5000  4 Hg 2.89, 4 Mg 3.18-3.19
Mg  0.0020  0.2480  0.2480  3 Hg 2.87-3.13, 5 Mg 2.97-3.19
Mg  0.9980  0.7520  0.7520  3 Hg 2.87-3.13, 5 Mg 2.97-3.19
Hg  0.3728  0.4852  0.7691  5 Mg 2.71-2.89
Hg  0.8728  0.7691  0.4852  5 Mg 2.71-2.89
Hg  0.6272  0.5148  0.2309  5 Mg 2.71-2.89
Hg  0.1272  0.2309  0.5148  5 Mg 2.71-2.89
Hg  0.2500  0.0000  0.0000  4 Mg 2.79
Hg  0.7500  0.0000  0.0000  4 Mg 2.79

---

Record 3
An optimized crystal structure of Ce3Mg5Hg2, computed with PBE.

Values from the calculation:
Total moment = 7.723 μB per cell
Crystal system = orthorhombic
D(E_F) = 2.4546 states/eV/atom

abc: 6.2596 9.8036 9.8036
angles: 86.11 71.38 71.38
With the nearest neighbours (Å) after each atom.
Element x y z (fractional)
Ce  0.2500  0.0000  0.0000  2 Ce 3.13, 4 Hg 3.18, 2 Mg 3.31
Ce  0.7500  0.0000  0.0000  2 Ce 3.13, 4 Hg 3.18, 2 Mg 3.31
Ce  0.3734  0.3696  0.8835  3 Hg 3.25-3.37, 4 Mg 3.45-3.54
Ce  0.6266  0.6304  0.1165  3 Hg 3.25-3.37, 4 Mg 3.45-3.54
Ce  0.8734  0.8835  0.3696  3 Hg 3.25-3.37, 4 Mg 3.45-3.54
Ce  0.1266  0.1165  0.6304  3 Hg 3.25-3.37, 4 Mg 3.45-3.54
Mg  0.2500  0.5000  0.5000  8 Mg 2.94-3.13
Mg  0.7500  0.5000  0.5000  8 Mg 2.94-3.13
Mg  0.5071  0.7429  0.7429  2 Hg 2.93, 5 Mg 3.01-3.13
Mg  0.9929  0.2571  0.2571  2 Hg 2.93, 5 Mg 3.01-3.13
Mg  0.4929  0.2571  0.2571  2 Hg 2.93, 5 Mg 3.01-3.13
Mg  0.0071  0.7429  0.7429  2 Hg 2.93, 5 Mg 3.01-3.13
Mg  0.1164  0.5325  0.2348  1 Hg 2.71, 4 Mg 2.94-3.01
Mg  0.8836  0.4675  0.7652  1 Hg 2.71, 4 Mg 2.94-3.01
Mg  0.6164  0.2348  0.5325  1 Hg 2.71, 4 Mg 2.94-3.01
Mg  0.3836  0.7652  0.4675  1 Hg 2.71, 4 Mg 2.94-3.01
Hg  0.1463  0.7028  0.0045  3 Mg 2.71-2.93
Hg  0.8537  0.2972  0.9955  3 Mg 2.71-2.93
Hg  0.6463  0.0045  0.7028  3 Mg 2.71-2.93
Hg  0.3537  0.9955  0.2972  3 Mg 2.71-2.93

---

Record 4
An optimized crystal structure of Ce3Mg7Hg4, computed with PBE.

Values from the calculation:
Total moment = 3.281 μB per cell
Crystal system = monoclinic
D(E_F) = 1.9817 states/eV/atom

abc: 4.7796 8.9338 9.2007
angles: 68.20 74.95 74.48
With the nearest neighbours (Å) after each atom.
Element x y z (fractional)
Ce  0.2985  0.1944  0.2086  4 Hg 3.34-3.36, 10 Mg 3.38-3.74
Ce  0.7015  0.8056  0.7914  4 Hg 3.34-3.36, 10 Mg 3.38-3.74
Ce  0.0000  0.5000  0.5000  6 Hg 3.36-3.48, 6 Mg 3.62-3.73
Mg  0.3279  0.8271  0.5171  4 Hg 2.76-2.92, 1 Mg 3.01
Mg  0.4942  0.1993  0.8124  3 Hg 2.82-3.05, 3 Mg 3.01-3.09
Mg  0.8429  0.3845  0.9297  3 Hg 2.87-2.95, 1 Mg 3.16
Mg  0.6721  0.1729  0.4829  4 Hg 2.76-2.92, 1 Mg 3.01
Mg  0.1571  0.6155  0.0703  3 Hg 2.87-2.95, 1 Mg 3.16
Mg  0.0000  0.0000  0.0000  2 Hg 2.87, 6 Mg 3.09-3.16
Mg  0.5058  0.8007  0.1876  3 Hg 2.82-3.05, 3 Mg 3.01-3.09
Hg  0.6546  0.4612  0.2295  5 Mg 2.76-2.95
Hg  0.3454  0.5388  0.7705  5 Mg 2.76-2.95
Hg  0.8741  0.9118  0.3399  6 Mg 2.82-3.05
Hg  0.1259  0.0882  0.6601  6 Mg 2.82-3.05

---

Record 5
An optimized crystal structure of Ce3MgHg4, computed with PBE.

Values from the calculation:
Total moment = 3.690 μB per cell
Crystal system = orthorhombic
D(E_F) = 2.0169 states/eV/atom

abc: 6.5588 6.4839 9.5168
angles: 90.00 90.00 90.00
With the nearest neighbours (Å) after each atom.
Element x y z (fractional)
Ce  0.7468  0.9864  0.0000  2 Ce 2.76
Ce  0.9216  0.7700  0.2191  1 Ce 2.76
Ce  0.4216  0.2300  0.2809  1 Ce 2.76
Ce  0.2468  0.0136  0.5000  2 Ce 2.76
Ce  0.4216  0.2300  0.7191  1 Ce 2.76
Ce  0.9216  0.7700  0.7809  1 Ce 2.76
Mg  0.1769  0.4527  0.0000  6 Hg 3.05-3.37, 2 Ce 3.37
Mg  0.6769  0.5473  0.5000  6 Hg 3.05-3.37, 2 Ce 3.37
Hg  0.2391  0.9868  0.0000  1 Mg 3.05, 2 Hg 3.13, 6 Ce 3.23-3.33
Hg  0.6471  0.4771  0.0000  1 Mg 3.09, 4 Hg 3.17-3.34, 6 Ce 3.25-3.45
Hg  0.9311  0.2723  0.2564  3 Hg 3.13-3.34, 2 Mg 3.15-3.37, 5 Ce 3.24-3.36
Hg  0.4311  0.7277  0.2436  3 Hg 3.13-3.34, 2 Mg 3.15-3.37, 5 Ce 3.24-3.36
Hg  0.1471  0.5229  0.5000  1 Mg 3.09, 4 Hg 3.17-3.34, 6 Ce 3.25-3.45
Hg  0.7391  0.0132  0.5000  1 Mg 3.05, 2 Hg 3.13, 6 Ce 3.23-3.33
Hg  0.4311  0.7277  0.7564  3 Hg 3.13-3.34, 2 Mg 3.15-3.37, 5 Ce 3.24-3.36
Hg  0.9311  0.2723  0.7436  3 Hg 3.13-3.34, 2 Mg 3.15-3.37, 5 Ce 3.24-3.36

---

Record 6
An optimized crystal structure of CeMg2Hg3, computed with PBE.

Values from the calculation:
Total moment = 1.781 μB per cell
Crystal system = hexagonal
D(E_F) = 1.5256 states/eV/atom

abc: 4.9042 4.9042 13.9103
angles: 90.00 90.00 120.00
With the nearest neighbours (Å) after each atom.
Element x y z (fractional)
Ce  0.0000  0.0000  0.2500  8 Hg 3.24-3.48
Ce  0.0000  0.0000  0.7500  8 Hg 3.24-3.48
Mg  0.6667  0.3333  0.4174  7 Hg 2.93-3.06
Mg  0.3333  0.6667  0.5826  7 Hg 2.93-3.06
Mg  0.3333  0.6667  0.9174  7 Hg 2.93-3.06
Mg  0.6667  0.3333  0.0826  7 Hg 2.93-3.06
Hg  0.0000  0.0000  0.5000  6 Mg 3.06, 6 Hg 3.41
Hg  0.0000  0.0000  0.0000  6 Mg 3.06, 6 Hg 3.41
Hg  0.6667  0.3333  0.6367  4 Mg 2.93-3.05, 1 Hg 3.15, 3 Ce 3.24
Hg  0.3333  0.6667  0.1367  4 Mg 2.93-3.05, 1 Hg 3.15, 3 Ce 3.24
Hg  0.6667  0.3333  0.8633  4 Mg 2.93-3.05, 1 Hg 3.15, 3 Ce 3.24
Hg  0.3333  0.6667  0.3633  4 Mg 2.93-3.05, 1 Hg 3.15, 3 Ce 3.24

---

no.,electronic total energy (eV for the cell shown)
1,-16.4
2,-44.6
3,-53.2
4,-33.2
5,-45.3
6,-23.4